No. 1
# TbGeBi PBE relaxed
data_TbGeBi
_chemical_formula_sum 'Tb4 Ge4 Bi4'
_cell_length_a 4.504
_cell_length_b 16.499
_cell_length_c 4.194
_cell_angle_alpha 90.00
_cell_angle_beta 90.00
_cell_angle_gamma 90.00
_symmetry_space_group_name_H-M 'C m c m'
_symmetry_Int_Tables_number 63
_symmetry_space_group_name_Hall '-C 2c 2'
loop_
_atom_site_label
_atom_site_type_symbol
_atom_site_fract_x
_atom_site_fract_y
_atom_site_fract_z
Tb1 Tb 0.000 0.093 0.250
Ge1 Ge 0.000 0.449 0.250
Bi1 Bi 0.000 0.252 0.750
# Relative energy among the computed polymorphs (meV/atom): 0
# ΔH_f (0 K) (eV per atom): -0.5864
# Magnetic moment (μB per cell): 0.0
# DFT total energy (eV/cell): -59.551
# DOS(E_F) (states/eV/f.u.): 1.01
# Crystal system: orthorhombic

---

No. 2
# Tb8GeBi2 PBE relaxed
data_Tb8GeBi2
_chemical_formula_sum 'Tb16 Ge2 Bi4'
_cell_length_a 18.483
_cell_length_b 4.904
_cell_length_c 7.252
_cell_angle_alpha 90.00
_cell_angle_beta 90.17
_cell_angle_gamma 90.00
_symmetry_space_group_name_H-M 'C 1 2/m 1'
_symmetry_Int_Tables_number 12
loop_
_symmetry_equiv_pos_as_xyz
'x,y,z'
'-x,-y,-z'
'-x,y,-z'
'x,-y,z'
'x+1/2,y+1/2,z'
'-x+1/2,-y+1/2,-z'
'-x+1/2,y+1/2,-z'
'x+1/2,-y+1/2,z'
loop_
_atom_site_label
_atom_site_type_symbol
_atom_site_fract_x
_atom_site_fract_y
_atom_site_fract_z
Tb1 Tb 0.016 0.000 0.239
Tb2 Tb 0.095 0.500 0.545
Tb3 Tb 0.153 0.500 0.068
Tb4 Tb 0.217 0.000 0.361
Ge1 Ge 0.000 0.500 0.000
Bi1 Bi 0.173 0.000 0.798
# ΔH_f (0 K) (eV per atom): -0.4081
# Magnetic moment (μB per cell): 0.0
# DFT total energy (eV/cell): -107.820
# DOS(E_F) (states/eV/f.u.): 12.60
# Crystal system: monoclinic

---

No. 3
# Tb6Ge3Bi PBE relaxed
data_Tb6Ge3Bi
_chemical_formula_sum 'Tb24 Ge12 Bi4'
_cell_length_a 11.526
_cell_length_b 13.183
_cell_length_c 7.444
_cell_angle_alpha 90.00
_cell_angle_beta 90.00
_cell_angle_gamma 90.00
_symmetry_space_group_name_H-M 'C m c 21'
_symmetry_Int_Tables_number 36
loop_
_symmetry_equiv_pos_as_xyz
'x,y,z'
'-x,-y,z+1/2'
'-x,y,z'
'x,-y,z+1/2'
'x+1/2,y+1/2,z'
'-x+1/2,-y+1/2,z+1/2'
'-x+1/2,y+1/2,z'
'x+1/2,-y+1/2,z+1/2'
loop_
_atom_site_label
_atom_site_type_symbol
_atom_site_fract_x
_atom_site_fract_y
_atom_site_fract_z
Tb1 Tb 0.000 0.024 0.000
Tb2 Tb 0.000 0.222 0.657
Tb3 Tb 0.155 0.448 0.525
Tb4 Tb 0.236 0.300 0.912
Ge1 Ge 0.000 0.412 0.838
Ge2 Ge 0.183 0.078 0.730
Bi1 Bi 0.000 0.235 0.237
# ΔH_f (0 K) (eV per atom): -0.6232
# Magnetic moment (μB per cell): 0.0
# DFT total energy (eV/cell): -206.986
# DOS(E_F) (states/eV/f.u.): 7.39
# Crystal system: orthorhombic

---

No. 4
# Tb3GeBi2 PBE relaxed
data_Tb3GeBi2
_chemical_formula_sum 'Tb12 Ge4 Bi8'
_cell_length_a 13.172
_cell_length_b 7.332
_cell_length_c 7.624
_cell_angle_alpha 90.00
_cell_angle_beta 90.00
_cell_angle_gamma 90.00
_symmetry_space_group_name_H-M 'C m c m'
_symmetry_Int_Tables_number 63
_symmetry_space_group_name_Hall '-C 2c 2'
loop_
_atom_site_label
_atom_site_type_symbol
_atom_site_fract_x
_atom_site_fract_y
_atom_site_fract_z
Tb1 Tb 0.000 0.000 0.000
Tb2 Tb 0.148 0.500 0.000
Ge1 Ge 0.000 0.320 0.250
Bi1 Bi 0.175 0.153 0.750
# ΔH_f (0 K) (eV per atom): -0.7082
# Magnetic moment (μB per cell): 0.0
# DFT total energy (eV/cell): -122.078
# DOS(E_F) (states/eV/f.u.): 3.25
# Crystal system: orthorhombic

---

No. 5
# Tb6GeBi2Te3 PBE relaxed
data_Tb6GeBi2Te3
_chemical_formula_sum 'Tb12 Ge2 Bi4 Te6'
_cell_length_a 19.181
_cell_length_b 4.376
_cell_length_c 8.811
_cell_angle_alpha 90.00
_cell_angle_beta 103.00
_cell_angle_gamma 90.00
_symmetry_space_group_name_H-M 'C 1 2/m 1'
_symmetry_Int_Tables_number 12
loop_
_symmetry_equiv_pos_as_xyz
'x,y,z'
'-x,-y,-z'
'-x,y,-z'
'x,-y,z'
'x+1/2,y+1/2,z'
'-x+1/2,-y+1/2,-z'
'-x+1/2,y+1/2,-z'
'x+1/2,-y+1/2,z'
loop_
_atom_site_label
_atom_site_type_symbol
_atom_site_fract_x
_atom_site_fract_y
_atom_site_fract_z
Tb1 Tb 0.001 0.000 0.277
Tb2 Tb 0.153 0.500 0.577
Tb3 Tb 0.165 0.500 0.082
Ge1 Ge 0.000 0.500 0.500
Bi1 Bi 0.167 0.000 0.834
Te1 Te 0.000 0.500 0.000
Te2 Te 0.171 0.000 0.336
# Magnetic moment (μB per cell): 0.0
# DFT total energy (eV/cell): -126.942
# DOS(E_F) (states/eV/f.u.): 4.19
# Crystal system: monoclinic

---

No. 6
# Tb8Ge3BiTe4 PBE relaxed
data_Tb8Ge3BiTe4
_chemical_formula_sum 'Tb24 Ge9 Bi3 Te12'
_cell_length_a 8.6309
_cell_length_b 8.6309
_cell_length_c 21.4061
_cell_angle_alpha 90.00
_cell_angle_beta 90.00
_cell_angle_gamma 120.00
_symmetry_space_group_name_H-M 'R -3 m'
_symmetry_Int_Tables_number 166
_symmetry_space_group_name_Hall '-R 3 2"'
loop_
_atom_site_label
_atom_site_type_symbol
_atom_site_fract_x
_atom_site_fract_y
_atom_site_fract_z
Tb1 Tb 0.0000 0.0000 0.2403
Tb2 Tb 0.0143 0.5071 0.7578
Ge1 Ge 0.0000 0.5000 0.5000
Bi1 Bi 0.0000 0.0000 0.5000
Te1 Te 0.0000 0.0000 0.0000
Te2 Te 0.0000 0.5000 0.0000
# Magnetic moment (μB per cell): 0.0
# DFT total energy (eV/cell): -259.024
# DOS(E_F) (states/eV/f.u.): 3.65
# Crystal system: trigonal

---

No. 7
# Tb4GeBiTe2 PBE relaxed
data_Tb4GeBiTe2
_chemical_formula_sum 'Tb4 Ge1 Bi1 Te2'
_cell_length_a 7.571
_cell_length_b 4.349
_cell_length_c 7.594
_cell_angle_alpha 90.00
_cell_angle_beta 109.25
_cell_angle_gamma 90.00
_symmetry_space_group_name_H-M 'P 1 2/m 1'
_symmetry_Int_Tables_number 10
loop_
_symmetry_equiv_pos_as_xyz
'x,y,z'
'-x,-y,-z'
'-x,y,-z'
'x,-y,z'
loop_
_atom_site_label
_atom_site_type_symbol
_atom_site_fract_x
_atom_site_fract_y
_atom_site_fract_z
Tb1 Tb 0.227 0.000 0.228
Tb2 Tb 0.235 0.500 0.762
Ge1 Ge 0.000 0.500 0.000
Bi1 Bi 0.000 0.000 0.500
Te1 Te 0.500 0.000 0.000
Te2 Te 0.500 0.500 0.500
# Magnetic moment (μB per cell): 0.0
# DFT total energy (eV/cell): -42.670
# DOS(E_F) (states/eV/f.u.): 1.63
# Crystal system: monoclinic

---

No. 8
# Tc3GeBi PBE relaxed
data_Tc3GeBi
_chemical_formula_sum 'Tc3 Ge1 Bi1'
_cell_length_a 5.059
_cell_length_b 5.059
_cell_length_c 5.059
_cell_angle_alpha 90.00
_cell_angle_beta 90.00
_cell_angle_gamma 90.00
_symmetry_space_group_name_H-M 'P m -3 m'
_symmetry_Int_Tables_number 221
_symmetry_space_group_name_Hall '-P 4 2 3'
loop_
_atom_site_label
_atom_site_type_symbol
_atom_site_fract_x
_atom_site_fract_y
_atom_site_fract_z
Tc1 Tc 0.000 0.000 0.500
Ge1 Ge 0.500 0.500 0.500
Bi1 Bi 0.000 0.000 0.000
# Relative energy among the computed polymorphs (meV/atom): 1216
# ΔH_f (0 K) (eV per atom): 2.3139
# Magnetic moment (μB per cell): 6.1
# DFT total energy (eV/cell): -28.027
# DOS(E_F) (states/eV/f.u.): 4.63
# Crystal system: cubic